# 1
# SiPtN2 (meta-GGA SCAN, single point on PBEsol structure)
data_SiPtN2
_chemical_formula_sum 'Si3 Pt3 N6'
_symmetry_space_group_name_H-M 'R -3 m'
_symmetry_Int_Tables_number 166
_symmetry_space_group_name_Hall '-R 3 2"'
_cell_length_a 2.7595
_cell_length_b 2.7595
_cell_length_c 17.8806
_cell_angle_alpha 90.00
_cell_angle_beta 90.00
_cell_angle_gamma 120.00
loop_
_atom_site_label
_atom_site_type_symbol
_atom_site_fract_x
_atom_site_fract_y
_atom_site_fract_z
_atom_site_occupancy
Si1 Si 0.0000 0.0000 0.0000 1
Pt1 Pt 0.0000 0.0000 0.5000 1
N1 N 0.0000 0.0000 0.3892 1
# - Uncorrected formation energy: -0.4140 eV/atom
# - Size of the total moment: 0.000 μB per cell
# - VASP energy: -25.112 eV/atom

***

# 2
# MnHg2Rh (meta-GGA SCAN, single point on PBEsol structure)
data_MnHg2Rh
_chemical_formula_sum 'Mn3 Hg6 Rh3'
_symmetry_space_group_name_H-M 'R -3 m'
_symmetry_Int_Tables_number 166
_symmetry_space_group_name_Hall '-R 3 2"'
_cell_length_a 2.9814
_cell_length_b 2.9814
_cell_length_c 26.3880
_cell_angle_alpha 90.00
_cell_angle_beta 90.00
_cell_angle_gamma 120.00
loop_
_atom_site_label
_atom_site_type_symbol
_atom_site_fract_x
_atom_site_fract_y
_atom_site_fract_z
_atom_site_occupancy
Mn1 Mn 0.0000 0.0000 0.0000 1
Hg1 Hg 0.0000 0.0000 0.2500 1
Rh1 Rh 0.0000 0.0000 0.5000 1
# - Energy of formation from the pure elements: 0.141 eV/atom
# - Size of the total moment: 12.141 μB per cell
# - VASP energy: -46.949 eV/atom

***

# 3
# RbCCl2 (meta-GGA SCAN, single point on PBEsol structure)
data_RbCCl2
_chemical_formula_sum 'Rb4 C4 Cl8'
_symmetry_space_group_name_H-M 'F m -3 m'
_symmetry_Int_Tables_number 225
_symmetry_space_group_name_Hall '-F 4 2 3'
_cell_length_a 7.118
_cell_length_b 7.118
_cell_length_c 7.118
_cell_angle_alpha 90.00
_cell_angle_beta 90.00
_cell_angle_gamma 90.00
loop_
_atom_site_label
_atom_site_type_symbol
_atom_site_fract_x
_atom_site_fract_y
_atom_site_fract_z
_atom_site_occupancy
Rb1 Rb 0.000 0.000 0.000 1
C1 C 0.000 0.000 0.500 1
Cl1 Cl 0.250 0.250 0.250 1
# - Uncorrected formation energy: 0.7764 eV/atom
# - Size of the total moment: 4.000 μB per cell
# - VASP energy: -10.922 eV/atom

***

# 4
# AlAsSe2 (meta-GGA SCAN, single point on PBEsol structure)
data_AlAsSe2
_chemical_formula_sum 'Al1 As1 Se2'
_symmetry_space_group_name_H-M 'P 4/m m m'
_symmetry_Int_Tables_number 123
_symmetry_space_group_name_Hall '-P 4 2'
_cell_length_a 3.310
_cell_length_b 3.310
_cell_length_c 6.646
_cell_angle_alpha 90.00
_cell_angle_beta 90.00
_cell_angle_gamma 90.00
loop_
_atom_site_label
_atom_site_type_symbol
_atom_site_fract_x
_atom_site_fract_y
_atom_site_fract_z
_atom_site_occupancy
Al1 Al 0.000 0.000 0.000 1
As1 As 0.000 0.000 0.500 1
Se1 Se 0.500 0.500 0.236 1
# - Uncorrected formation energy: 0.2084 eV/atom
# - Size of the total moment: 0.002 μB per cell
# - VASP energy: -16.816 eV/atom

***

# 5
# CaZrSe2 (meta-GGA SCAN, single point on PBEsol structure)
data_CaZrSe2
_chemical_formula_sum 'Ca4 Zr4 Se8'
_symmetry_space_group_name_H-M 'F m -3 m'
_symmetry_Int_Tables_number 225
_symmetry_space_group_name_Hall '-F 4 2 3'
_cell_length_a 6.881
_cell_length_b 6.881
_cell_length_c 6.881
_cell_angle_alpha 90.00
_cell_angle_beta 90.00
_cell_angle_gamma 90.00
loop_
_atom_site_label
_atom_site_type_symbol
_atom_site_fract_x
_atom_site_fract_y
_atom_site_fract_z
_atom_site_occupancy
Ca1 Ca 0.000 0.000 0.000 1
Zr1 Zr 0.000 0.000 0.500 1
Se1 Se 0.250 0.250 0.250 1
# - Uncorrected formation energy: -1.4103 eV/atom
# - Size of the total moment: 7.976 μB per cell
# - VASP energy: -21.540 eV/atom

***

# 6
# BeOsW2 (meta-GGA SCAN, single point on PBEsol structure)
data_BeOsW2
_chemical_formula_sum 'Be4 Os4 W8'
_symmetry_space_group_name_H-M 'F -4 3 m'
_symmetry_Int_Tables_number 216
_symmetry_space_group_name_Hall 'F -4 2 3'
_cell_length_a 6.060
_cell_length_b 6.060
_cell_length_c 6.060
_cell_angle_alpha 90.00
_cell_angle_beta 90.00
_cell_angle_gamma 90.00
loop_
_atom_site_label
_atom_site_type_symbol
_atom_site_fract_x
_atom_site_fract_y
_atom_site_fract_z
_atom_site_occupancy
Be1 Be 0.000 0.000 0.000 1
Os1 Os 0.250 0.250 0.250 1
W1 W 0.000 0.000 0.500 1
W2 W 0.250 0.250 0.750 1
# - Energy of formation from the pure elements: 0.122 eV/atom
# - Size of the total moment: 0.000 μB per cell
# - VASP energy: -53.780 eV/atom

***

# 7
# ScAlAs (meta-GGA SCAN, single point on PBEsol structure)
data_ScAlAs
_chemical_formula_sum 'Sc4 Al4 As4'
_symmetry_space_group_name_H-M 'F m m 2'
_symmetry_Int_Tables_number 42
_symmetry_space_group_name_Hall 'F 2 -2'
_cell_length_a 4.534
_cell_length_b 5.051
_cell_length_c 9.507
_cell_angle_alpha 90.00
_cell_angle_beta 90.00
_cell_angle_gamma 90.00
loop_
_atom_site_label
_atom_site_type_symbol
_atom_site_fract_x
_atom_site_fract_y
_atom_site_fract_z
_atom_site_occupancy
Sc1 Sc 0.000 0.000 0.000 1
Al1 Al 0.000 0.000 0.308 1
As1 As 0.000 0.000 0.671 1
# - Energy of formation from the pure elements: -0.497 eV/atom
# - Size of the total moment: 0.634 μB per cell
# - VASP energy: -14.557 eV/atom

***

# 8
# La2Bi2S4OF (meta-GGA SCAN, single point on PBEsol structure)
data_La2Bi2S4OF
_chemical_formula_sum 'La2 Bi2 S4 O1 F1'
_symmetry_space_group_name_H-M 'P -4 m 2'
_symmetry_Int_Tables_number 115
_cell_length_a 4.037
_cell_length_b 4.037
_cell_length_c 13.109
_cell_angle_alpha 90.00
_cell_angle_beta 90.00
_cell_angle_gamma 90.00
loop_
_symmetry_equiv_pos_as_xyz
'x,y,z'
'y,-x,-z'
'-x,-y,z'
'-y,x,-z'
'-x,y,z'
'-y,-x,-z'
'x,-y,z'
'y,x,-z'
loop_
_atom_site_label
_atom_site_type_symbol
_atom_site_fract_x
_atom_site_fract_y
_atom_site_fract_z
_atom_site_occupancy
La1 La 0.000 0.500 0.106 1
Bi1 Bi 0.000 0.500 0.615 1
S1 S 0.000 0.500 0.381 1
S2 S 0.000 0.500 0.815 1
O1 O 0.000 0.000 0.000 1
F1 F 0.500 0.500 0.000 1
# - Uncorrected formation energy: -1.9947 eV/atom
# - Size of the total moment: 0.000 μB per cell
# - VASP energy: -31.160 eV/atom

***

# 9
# LiFeF3 (meta-GGA SCAN, single point on PBEsol structure)
data_LiFeF3
_chemical_formula_sum 'Li4 Fe4 F12'
_symmetry_space_group_name_H-M 'C m c m'
_symmetry_Int_Tables_number 63
_symmetry_space_group_name_Hall '-C 2c 2'
_cell_length_a 2.767
_cell_length_b 9.542
_cell_length_c 7.177
_cell_angle_alpha 90.00
_cell_angle_beta 90.00
_cell_angle_gamma 90.00
loop_
_atom_site_label
_atom_site_type_symbol
_atom_site_fract_x
_atom_site_fract_y
_atom_site_fract_z
_atom_site_occupancy
Li1 Li 0.000 0.000 0.000 1
Fe1 Fe 0.000 0.245 0.250 1
F1 F 0.000 0.095 0.750 1
F2 F 0.000 0.359 0.572 1
# - Uncorrected formation energy: -2.5849 eV/atom
# - Size of the total moment: 16.000 μB per cell
# - VASP energy: -8.813 eV/atom

***

# 10
# HoSi2Ru2 (meta-GGA SCAN, single point on PBEsol structure)
data_HoSi2Ru2
_chemical_formula_sum 'Ho2 Si4 Ru4'
_symmetry_space_group_name_H-M 'I 4/m m m'
_symmetry_Int_Tables_number 139
_symmetry_space_group_name_Hall '-I 4 2'
_cell_length_a 4.124
_cell_length_b 4.124
_cell_length_c 9.456
_cell_angle_alpha 90.00
_cell_angle_beta 90.00
_cell_angle_gamma 90.00
loop_
_atom_site_label
_atom_site_type_symbol
_atom_site_fract_x
_atom_site_fract_y
_atom_site_fract_z
_atom_site_occupancy
Ho1 Ho 0.000 0.000 0.000 1
Si1 Si 0.000 0.000 0.370 1
Ru1 Ru 0.000 0.500 0.250 1
# - Uncorrected formation energy: -0.9934 eV/atom
# - Size of the total moment: 0.000 μB per cell
# - VASP energy: -28.728 eV/atom

***

# 11
# K2InAu (meta-GGA SCAN, single point on PBEsol structure)
data_K2InAu
_chemical_formula_sum 'K2 In1 Au1'
_symmetry_space_group_name_H-M 'P 4/m m m'
_symmetry_Int_Tables_number 123
_symmetry_space_group_name_Hall '-P 4 2'
_cell_length_a 4.846
_cell_length_b 4.846
_cell_length_c 5.064
_cell_angle_alpha 90.00
_cell_angle_beta 90.00
_cell_angle_gamma 90.00
loop_
_atom_site_label
_atom_site_type_symbol
_atom_site_fract_x
_atom_site_fract_y
_atom_site_fract_z
_atom_site_occupancy
K1 K 0.000 0.500 0.000 1
In1 In 0.000 0.000 0.500 1
Au1 Au 0.500 0.500 0.500 1
# - Energy of formation from the pure elements: -0.093 eV/atom
# - Size of the total moment: 0.000 μB per cell
# - VASP energy: -29.893 eV/atom

***

# 12
# Mn2NiCl (meta-GGA SCAN, single point on PBEsol structure)
data_Mn2NiCl
_chemical_formula_sum 'Mn4 Ni2 Cl2'
_symmetry_space_group_name_H-M 'I m m m'
_symmetry_Int_Tables_number 71
_symmetry_space_group_name_Hall '-I 2 2'
_cell_length_a 3.076
_cell_length_b 4.752
_cell_length_c 7.594
_cell_angle_alpha 90.00
_cell_angle_beta 90.00
_cell_angle_gamma 90.00
loop_
_atom_site_label
_atom_site_type_symbol
_atom_site_fract_x
_atom_site_fract_y
_atom_site_fract_z
_atom_site_occupancy
Mn1 Mn 0.000 0.000 0.247 1
Ni1 Ni 0.000 0.500 0.000 1
Cl1 Cl 0.000 0.500 0.500 1
# - Uncorrected formation energy: 0.1322 eV/atom
# - Size of the total moment: 17.103 μB per cell
# - VASP energy: -15.033 eV/atom

***

> What is the VASP energy in the eleventh record?

-29.893 eV/atom

***

> Which of these has the lowest VASP energy?

BeOsW2